No. 1
A plane-wave DFT calculation with PBE was carried out for a geometry-optimized AcLaOsPd structure.

Total energy   -0.487 Ry per atom
Crystal system   cubic
Energy of formation from the pure elements   -0.2619 eV/atom
Density   11.08 g cm⁻³

Unit cell a=5.198 b=5.198 c=5.198 alpha=60.00 beta=60.00 gamma=60.00
Fractional positions:
1 Pd 0.750 0.750 0.750
2 Ac 0.500 0.500 0.500
3 Os 0.250 0.250 0.250
4 La 0.000 0.000 0.000


No. 2
A plane-wave DFT calculation with PBE was carried out for a geometry-optimized TiH2Ir2 structure.

Total energy   -0.490 Ry per atom
Crystal system   tetragonal
Density   13.64 g cm⁻³
ΔE to the lowest computed polymorph   10.4 meV/atom

Unit cell a=5.925 b=5.925 c=3.012 alpha=90.00 beta=90.00 gamma=90.00
Fractional positions:
1 H 0.269 0.769 0.000
2 H 0.731 0.231 0.000
3 Ir 0.158 0.658 0.500
4 Ir 0.342 0.158 0.500
5 H 0.769 0.731 0.000
6 Ir 0.658 0.842 0.500
7 Ti 0.500 0.500 0.000
8 Ti 0.000 0.000 0.000
9 Ir 0.842 0.342 0.500
10 H 0.231 0.269 0.000


No. 3
A plane-wave DFT calculation with PBE was carried out for a geometry-optimized PmNd3Sm2S6 structure.

Total energy   -0.475 Ry per atom
Crystal system   monoclinic
Density   6.34 g cm⁻³
ΔE_f (raw)   -46.8 kcal/mol of atoms

Unit cell a=7.006 b=7.006 c=7.005 alpha=99.57 beta=99.57 gamma=120.16
Fractional positions:
1 Nd 0.834 0.166 0.500
2 S 0.584 0.918 0.755
3 S 0.253 0.253 0.755
4 Nd 0.500 0.500 0.500
5 S 0.747 0.747 0.245
6 Sm 0.333 0.667 0.000
7 Pm 0.000 0.000 0.000
8 S 0.918 0.584 0.755
9 Sm 0.667 0.333 0.000
10 S 0.082 0.416 0.245
11 Nd 0.166 0.834 0.500
12 S 0.416 0.082 0.245


Repeat the first record exactly.
A plane-wave DFT calculation with PBE was carried out for a geometry-optimized AcLaOsPd structure.

Total energy   -0.487 Ry per atom
Crystal system   cubic
Energy of formation from the pure elements   -0.2619 eV/atom
Density   11.08 g cm⁻³

Unit cell a=5.198 b=5.198 c=5.198 alpha=60.00 beta=60.00 gamma=60.00
Fractional positions:
1 Pd 0.750 0.750 0.750
2 Ac 0.500 0.500 0.500
3 Os 0.250 0.250 0.250
4 La 0.000 0.000 0.000